Entry 1:
A plane-wave DFT calculation with PBE was carried out for a geometry-optimized MnCr2Ag3Se6 structure.

Results
Energy relative to the elements, uncorrected ... -0.29 eV/atom
Magnetization ... 10.01 μB per cell
SG ... C2/m, No. 12
Volume ... 20.156 Å³/atom
DFT total energy ... -61.41 eV/cell

CIF file:
```
data_MnCr2Ag3Se6
_chemical_formula_sum 'Mn1 Cr2 Ag3 Se6'
_cell_length_a 6.4760
_cell_length_b 6.4760
_cell_length_c 6.9940
_cell_angle_alpha 98.85
_cell_angle_beta 98.85
_cell_angle_gamma 119.94
_symmetry_space_group_name_H-M 'P 1'
_symmetry_Int_Tables_number 1
_symmetry_space_group_name_Hall 'P 1'
loop_
_atom_site_label
_atom_site_fract_x
_atom_site_fract_y
_atom_site_fract_z
Se1 0.0698 0.4067 0.2114
Se2 0.4067 0.0698 0.2114
Se3 0.5933 0.9302 0.7886
Se4 0.7330 0.7330 0.2151
Se5 0.9302 0.5933 0.7886
Se6 0.2670 0.2670 0.7849
Mn1 0.0000 0.0000 0.0000
Cr1 0.3336 0.6664 0.0000
Cr2 0.6664 0.3336 0.0000
Ag1 0.1690 0.8310 0.5000
Ag2 0.5000 0.5000 0.5000
Ag3 0.8310 0.1690 0.5000
```

=====

Entry 2:
A plane-wave DFT calculation with PBE was carried out for a geometry-optimized Pr3Tm4Cd4 structure.

Results
Formation energy ... -0.12 eV/atom
Magnetization ... 0.00 μB per cell
SG ... Immm, No. 71
Volume ... 29.750 Å³/atom
DFT total energy ... -37.25 eV/cell

CIF file:
```
data_Pr3Tm4Cd4
_chemical_formula_sum 'Pr3 Tm4 Cd4'
_cell_length_a 5.2537
_cell_length_b 7.3789
_cell_length_c 9.5798
_cell_angle_alpha 112.65
_cell_angle_beta 105.91
_cell_angle_gamma 90.00
_symmetry_space_group_name_H-M 'P 1'
_symmetry_Int_Tables_number 1
_symmetry_space_group_name_Hall 'P 1'
loop_
_atom_site_label
_atom_site_fract_x
_atom_site_fract_y
_atom_site_fract_z
Cd1 0.5000 0.2005 0.0000
Cd2 0.5000 0.7995 0.0000
Cd3 0.1905 0.6905 0.3810
Cd4 0.8095 0.3095 0.6190
Tm1 0.3202 0.0924 0.6404
Tm2 0.6798 0.4519 0.3596
Tm3 0.3202 0.5481 0.6404
Tm4 0.6798 0.9076 0.3596
Pr1 0.8901 0.8901 0.7802
Pr2 0.0000 0.5000 0.0000
Pr3 0.1099 0.1099 0.2198
```

=====

Entry 3:
A plane-wave DFT calculation with PBE was carried out for a geometry-optimized YAs2Os structure.

Results
Formation energy ... -0.16 eV/atom
Magnetization ... 0.00 μB per cell
SG ... P4/mmm, No. 123
Volume ... 18.146 Å³/atom
DFT total energy ... -27.63 eV/cell

CIF file:
```
data_YAs2Os
_chemical_formula_sum 'Y1 As2 Os1'
_cell_length_a 4.6963
_cell_length_b 4.6957
_cell_length_c 3.2915
_cell_angle_alpha 90.00
_cell_angle_beta 90.00
_cell_angle_gamma 90.00
_symmetry_space_group_name_H-M 'P 1'
_symmetry_Int_Tables_number 1
_symmetry_space_group_name_Hall 'P 1'
loop_
_atom_site_label
_atom_site_fract_x
_atom_site_fract_y
_atom_site_fract_z
As1 0.0000 0.0000 0.0000
As2 0.5000 0.5000 0.0000
Y1 0.0000 0.5000 0.5000
Os1 0.5000 0.0000 0.5000
```

=====

Entry 4:
A plane-wave DFT calculation with PBE was carried out for a geometry-optimized LaPaAl2O8 structure.

Results
Energy relative to the elements, uncorrected ... -2.83 eV/atom
Magnetization ... 0.94 μB per cell
SG ... I-4m2, No. 119
Volume ... 13.887 Å³/atom
DFT total energy ... -95.55 eV/cell

CIF file:
```
data_LaPaAl2O8
_chemical_formula_sum 'La1 Pa1 Al2 O8'
_cell_length_a 6.0087
_cell_length_b 6.0087
_cell_length_c 6.0087
_cell_angle_alpha 107.97
_cell_angle_beta 107.97
_cell_angle_gamma 112.52
_symmetry_space_group_name_H-M 'P 1'
_symmetry_Int_Tables_number 1
_symmetry_space_group_name_Hall 'P 1'
loop_
_atom_site_label
_atom_site_fract_x
_atom_site_fract_y
_atom_site_fract_z
Pa1 0.2500 0.7500 0.5000
Al1 0.7500 0.2500 0.5000
Al2 0.5000 0.5000 0.0000
O1 0.3247 0.5169 0.1922
O2 0.8676 0.6753 0.1922
O3 0.9410 0.6128 0.6717
O4 0.9410 0.2693 0.3283
O5 0.7307 0.0590 0.6717
O6 0.3872 0.0590 0.3283
O7 0.4831 0.6753 0.8078
O8 0.3247 0.1324 0.8078
La1 0.0000 0.0000 0.0000
```

=====

Entry 5:
A plane-wave DFT calculation with PBE was carried out for a geometry-optimized AlGa8 structure.

Results
Formation energy ... 0.05 eV/atom
Magnetization ... 0.00 μB per cell
SG ... I4/mmm, No. 139
Volume ... 18.752 Å³/atom
DFT total energy ... -27.52 eV/cell

CIF file:
```
data_AlGa8
_chemical_formula_sum 'Al1 Ga8'
_cell_length_a 3.2714
_cell_length_b 7.3665
_cell_length_c 7.3665
_cell_angle_alpha 87.17
_cell_angle_beta 77.17
_cell_angle_gamma 77.17
_symmetry_space_group_name_H-M 'P 1'
_symmetry_Int_Tables_number 1
_symmetry_space_group_name_Hall 'P 1'
loop_
_atom_site_label
_atom_site_fract_x
_atom_site_fract_y
_atom_site_fract_z
Ga1 0.6652 0.0000 0.6696
Ga2 0.0000 0.6675 0.3325
Ga3 0.0000 0.3325 0.6675
Ga4 0.3325 0.6675 0.6675
Ga5 0.6675 0.3325 0.3325
Ga6 0.6652 0.6696 0.0000
Ga7 0.3348 0.0000 0.3304
Ga8 0.3348 0.3304 0.0000
Al1 0.0000 0.0000 0.0000
```

=====

Entry 6:
A plane-wave DFT calculation with PBE was carried out for a geometry-optimized PaMnPd2 structure.

Results
Formation energy ... -0.27 eV/atom
Magnetization ... 2.72 μB per cell
SG ... P4/mmm, No. 123
Volume ... 18.267 Å³/atom
DFT total energy ... -30.11 eV/cell

CIF file:
```
data_PaMnPd2
_chemical_formula_sum 'Pa1 Mn1 Pd2'
_cell_length_a 3.6276
_cell_length_b 3.6276
_cell_length_c 5.5525
_cell_angle_alpha 90.00
_cell_angle_beta 90.00
_cell_angle_gamma 90.00
_symmetry_space_group_name_H-M 'P 1'
_symmetry_Int_Tables_number 1
_symmetry_space_group_name_Hall 'P 1'
loop_
_atom_site_label
_atom_site_fract_x
_atom_site_fract_y
_atom_site_fract_z
Pd1 0.0000 0.0000 0.7603
Pd2 0.0000 0.0000 0.2397
Mn1 0.5000 0.5000 0.0000
Pa1 0.5000 0.5000 0.5000
```

=====

Entry 7:
A plane-wave DFT calculation with PBE was carried out for a geometry-optimized MgTlBiS3 structure.

Results
Energy relative to the elements, uncorrected ... -0.70 eV/atom
Magnetization ... 0.00 μB per cell
SG ... P2_1/m, No. 11
Volume ... 28.799 Å³/atom
DFT total energy ... -48.81 eV/cell

CIF file:
```
data_MgTlBiS3
_chemical_formula_sum 'Mg2 Tl2 Bi2 S6'
_cell_length_a 4.1672
_cell_length_b 8.9047
_cell_length_c 9.5344
_cell_angle_alpha 102.37
_cell_angle_beta 90.00
_cell_angle_gamma 90.00
_symmetry_space_group_name_H-M 'P 1'
_symmetry_Int_Tables_number 1
_symmetry_space_group_name_Hall 'P 1'
loop_
_atom_site_label
_atom_site_fract_x
_atom_site_fract_y
_atom_site_fract_z
Tl1 0.7500 0.8102 0.7866
Tl2 0.2500 0.1898 0.2134
S1 0.7500 0.1876 0.5267
S2 0.7500 0.4317 0.1473
S3 0.2500 0.1294 0.8696
S4 0.2500 0.5683 0.8527
S5 0.7500 0.8706 0.1304
S6 0.2500 0.8124 0.4733
Mg1 0.7500 0.9140 0.3933
Mg2 0.2500 0.0860 0.6067
Bi1 0.2500 0.6595 0.1376
Bi2 0.7500 0.3405 0.8624
```